Entry 1:
{
  "formula": "TaNiOs2",
  "functional": "PBE",
  "state": "relaxed",
  "dft_energy_ev_per_cell": -76.51,
  "lattice_angstrom": [[3.835, 0.000, 0.000], [0.000, 3.835, 0.000], [1.917, 1.917, 8.804]],
  "species": ["Ni", "Ni", "Os", "Os", "Os", "Os", "Ta", "Ta"],
  "fractional_positions": [[0.500, 0.500, 0.000], [0.250, 0.750, 0.500], [0.569, 0.125, 0.250], [0.181, 0.625, 0.250], [0.375, 0.431, 0.750], [0.875, 0.819, 0.750], [0.000, 0.000, 0.000], [0.750, 0.250, 0.500]]
}



Entry 2:
{
  "formula": "LaTm2ThAs4",
  "functional": "PBE",
  "state": "relaxed",
  "dft_energy_ev_per_cell": -51.90,
  "lattice_angstrom": [[4.197, 0.000, 0.000], [0.000, 7.212, -0.127], [0.000, 2.553, 6.812]],
  "species": ["La", "Tm", "Tm", "Th", "As", "As", "As", "As"],
  "fractional_positions": [[0.500, 0.500, 0.000], [0.000, 0.000, 0.000], [0.500, 0.000, 0.500], [0.000, 0.500, 0.500], [0.000, 0.765, 0.741], [0.000, 0.235, 0.259], [0.500, 0.763, 0.249], [0.500, 0.237, 0.751]]
}



Entry 3:
{
  "formula": "LaZn2Co",
  "functional": "PBE",
  "state": "relaxed",
  "dft_energy_ev_per_cell": -14.67,
  "lattice_angstrom": [[3.206, 0.000, 0.000], [0.000, 3.174, 0.000], [0.000, 0.000, 7.106]],
  "species": ["Co", "La", "Zn", "Zn"],
  "fractional_positions": [[0.500, 0.500, 0.250], [0.500, 0.500, 0.750], [0.000, 0.000, 0.074], [0.000, 0.000, 0.426]]
}



Entry 4:
{
  "formula": "LaYHoAl",
  "functional": "PBE",
  "state": "relaxed",
  "polymorph_energy_mev_per_atom": 124,
  "lattice_angstrom": [[-3.328, 4.138, -1.199], [-1.481, 0.895, -5.162], [-5.117, -0.990, -1.574]],
  "species": ["Y", "Al", "Ho", "La"],
  "fractional_positions": [[0.750, 0.750, 0.750], [0.000, 0.000, 0.000], [0.500, 0.500, 0.500], [0.250, 0.250, 0.250]]
}